1.
ThGa2Co2Pd: relaxed, PBE.

a b c (Å): 4.627 4.627 5.426
angles (deg): 90.00 90.00 90.00
Space group P4/mmm (No. 123)
Inequivalent atoms, fractional coordinates:
Th (0.000, 0.000, 0.000) [1 per cell]
Ga (0.000, 0.500, 0.500) [2 per cell]
Co (0.500, 0.500, 0.211) [2 per cell]
Pd (0.000, 0.000, 0.500) [1 per cell]

Output
**Fermi-level density of states**: 4.2 states/eV per cell
**Energy relative to the elements**: 0.107 eV per atom
**Total energy**: -5.373 eV per atom
**Magnetization**: 1.81 Bohr magnetons per cell
**Calculated volume**: 116.2 Å³/f.u.

=====

2.
BaSi3Pd: relaxed, PBE.

a b c (Å): 5.505 5.505 5.505
angles (deg): 90.00 90.00 90.00
Space group Pm-3m (No. 221)
Inequivalent atoms, fractional coordinates:
Ba (0.000, 0.000, 0.000) [1 per cell]
Si (0.000, 0.000, 0.500) [3 per cell]
Pd (0.500, 0.500, 0.500) [1 per cell]

Output
**Fermi-level density of states**: 3.4 states/eV per cell
**Total energy**: -2.650 eV per atom
**Magnetization**: 0.00 Bohr magnetons per cell
**Calculated volume**: 166.8 Å³/f.u.

=====

3.
Nd5Ir2I2: relaxed, PBE.

a b c (Å): 16.985 8.084 8.106
angles (deg): 90.00 90.00 90.00
Space group Cmce (No. 64)
Inequivalent atoms, fractional coordinates:
Nd (0.000, 0.000, 0.000) [4 per cell]
Nd (0.107, 0.154, 0.345) [16 per cell]
Ir (0.000, 0.144, 0.641) [8 per cell]
I (0.211, 0.000, 0.000) [8 per cell]

Output
**Fermi-level density of states**: 30.5 states/eV per cell
**Total energy**: -5.754 eV per atom
**Magnetization**: 0.00 Bohr magnetons per cell
**Calculated volume**: 278.3 Å³/f.u.

=====

4.
Ca2ReRh: relaxed, PBE.

a b c (Å): 3.2313 3.2313 29.8946
angles (deg): 90.00 90.00 120.00
Space group R3m (No. 160, hexagonal axes)
Inequivalent atoms, fractional coordinates:
Ca (0.0000, 0.0000, 0.0000) [3 per cell]
Ca (0.0000, 0.0000, 0.2172) [3 per cell]
Re (0.0000, 0.0000, 0.7474) [3 per cell]
Rh (0.0000, 0.0000, 0.4741) [3 per cell]

Output
**Fermi-level density of states**: 17.9 states/eV per cell
**Energy relative to the elements**: 0.613 eV per atom
**Total energy**: -5.338 eV per atom
**Magnetization**: 0.00 Bohr magnetons per cell
**Calculated volume**: 90.1 Å³/f.u.

=====

5.
CaY2Mg: relaxed, PBE.

a b c (Å): 4.195 5.481 5.507
angles (deg): 90.00 90.00 90.00
Space group Pmmm (No. 47)
Inequivalent atoms, fractional coordinates:
Ca (0.000, 0.000, 0.000) [1 per cell]
Y (0.000, 0.500, 0.500) [1 per cell]
Y (0.500, 0.000, 0.500) [1 per cell]
Mg (0.500, 0.500, 0.000) [1 per cell]

Output
**Fermi-level density of states**: 4.9 states/eV per cell
**Energy relative to the elements**: 0.083 eV per atom
**Total energy**: -4.048 eV per atom
**Magnetization**: 0.00 Bohr magnetons per cell
**Calculated volume**: 126.6 Å³/f.u.

=====

6.
Ir3Cl: relaxed, PBE.

a b c (Å): 2.8452 2.8452 25.8008
angles (deg): 90.00 90.00 120.00
Space group R-3m (No. 166, hexagonal axes)
Inequivalent atoms, fractional coordinates:
Ir (0.0000, 0.0000, 0.0000) [3 per cell]
Ir (0.0000, 0.0000, 0.2511) [6 per cell]
Cl (0.0000, 0.0000, 0.5000) [3 per cell]

Output
**Fermi-level density of states**: 10.5 states/eV per cell
**Total energy**: -6.608 eV per atom
**Distance to the lowest polymorph of the same formula**: 0.031 eV per atom
**Magnetization**: 0.00 Bohr magnetons per cell
**Calculated volume**: 60.3 Å³/f.u.

=====

7.
HgOs3I: relaxed, PBE.

a b c (Å): 4.820 4.820 4.820
angles (deg): 90.00 90.00 90.00
Space group Pm-3m (No. 221)
Inequivalent atoms, fractional coordinates:
Hg (0.000, 0.000, 0.000) [1 per cell]
Os (0.000, 0.500, 0.500) [3 per cell]
I (0.500, 0.500, 0.500) [1 per cell]

Output
**Fermi-level density of states**: 6.4 states/eV per cell
**Total energy**: -4.383 eV per atom
**Distance to the lowest polymorph of the same formula**: 0.000 eV per atom
**Magnetization**: 0.00 Bohr magnetons per cell
**Calculated volume**: 112.0 Å³/f.u.

=====

8.
LiMnCo2: relaxed, PBE.

a b c (Å): 5.543 5.543 5.543
angles (deg): 90.00 90.00 90.00
Space group Fm-3m (No. 225)
Inequivalent atoms, fractional coordinates:
Li (0.000, 0.000, 0.000) [4 per cell]
Mn (0.000, 0.000, 0.500) [4 per cell]
Co (0.250, 0.250, 0.250) [8 per cell]

Output
**Fermi-level density of states**: 21.9 states/eV per cell
**Energy relative to the elements**: 0.201 eV per atom
**Total energy**: -6.123 eV per atom
**Distance to the lowest polymorph of the same formula**: 0.054 eV per atom
**Magnetization**: 8.55 Bohr magnetons per cell
**Calculated volume**: 42.6 Å³/f.u.

=====

9.
KY2As: relaxed, PBE.

a b c (Å): 3.759 6.044 11.971
angles (deg): 90.00 90.00 90.00
Space group Immm (No. 71)
Inequivalent atoms, fractional coordinates:
K (0.000, 0.000, 0.000) [2 per cell]
Y (0.000, 0.500, 0.177) [4 per cell]
As (0.000, 0.000, 0.500) [2 per cell]

Output
**Fermi-level density of states**: 8.5 states/eV per cell
**Energy relative to the elements**: -0.371 eV per atom
**Total energy**: -5.040 eV per atom
**Magnetization**: 0.00 Bohr magnetons per cell
**Calculated volume**: 136.0 Å³/f.u.

=====

10.
Mn2WCl: relaxed, PBE.

a b c (Å): 7.695 2.900 7.567
angles (deg): 90.00 119.95 90.00
Space group C2/m (No. 12)
Inequivalent atoms, fractional coordinates:
Mn (0.136, 0.000, 0.311) [4 per cell]
W (0.000, 0.500, 0.500) [2 per cell]
Cl (0.000, 0.500, 0.000) [2 per cell]

Output
**Fermi-level density of states**: 5.2 states/eV per cell
**Total energy**: -7.822 eV per atom
**Distance to the lowest polymorph of the same formula**: 0.288 eV per atom
**Magnetization**: 9.66 Bohr magnetons per cell
**Calculated volume**: 73.1 Å³/f.u.

=====

11.
Re2PRh: relaxed, PBE.

a b c (Å): 2.894 4.774 8.366
angles (deg): 90.00 90.00 90.00
Space group Cmmm (No. 65)
Inequivalent atoms, fractional coordinates:
Re (0.000, 0.000, 0.226) [4 per cell]
P (0.000, 0.500, 0.000) [2 per cell]
Rh (0.000, 0.500, 0.500) [2 per cell]

Output
**Fermi-level density of states**: 8.1 states/eV per cell
**Energy relative to the elements**: 0.394 eV per atom
**Total energy**: -9.020 eV per atom
**Magnetization**: 0.00 Bohr magnetons per cell
**Calculated volume**: 57.8 Å³/f.u.

=====

12.
ErTmPd6: relaxed, PBE.

a b c (Å): 4.099 4.099 8.199
angles (deg): 90.00 90.00 90.00
Space group P4/mmm (No. 123)
Inequivalent atoms, fractional coordinates:
Er (0.000, 0.000, 0.000) [1 per cell]
Tm (0.000, 0.000, 0.500) [1 per cell]
Pd (0.000, 0.500, 0.251) [4 per cell]
Pd (0.500, 0.500, 0.000) [1 per cell]
Pd (0.500, 0.500, 0.500) [1 per cell]

Output
**Fermi-level density of states**: 6.4 states/eV per cell
**Energy relative to the elements**: -0.901 eV per atom
**Total energy**: -5.925 eV per atom
**Magnetization**: 0.00 Bohr magnetons per cell
**Calculated volume**: 137.7 Å³/f.u.